[1]
A relaxed structure of AgPPdO. Source: OQMD via LeMat-Bulk, functional PBE.

Summary:
For the raw total energy, the calculation gives -4.5860 eV per atom. For the energy relative to the lowest polymorph listed for this composition, the calculation gives 0.0 kJ/mol of formula units.

Unit cell a=3.2754 b=7.1396 c=5.3391 alpha=90.00 beta=90.00 gamma=90.00
With the nearest neighbours (Å) after each atom.
Sites, in units of the cell vectors:
P (0.0000, 0.0778, 0.9493)  2 Pd 2.29, 1 Ag 2.46
Pd (0.5000, 0.3010, 0.9588)  2 O 2.08-2.14, 2 P 2.29
Pd (0.5000, 0.6990, 0.4588)  2 O 2.08-2.14, 2 P 2.29
Ag (0.0000, 0.7382, 0.0236)  2 O 2.28, 1 P 2.46
Ag (0.0000, 0.2618, 0.5236)  2 O 2.28, 1 P 2.46
P (0.0000, 0.9222, 0.4493)  2 Pd 2.29, 1 Ag 2.46
O (0.5000, 0.5736, 0.8223)  2 Pd 2.08-2.14, 2 Ag 2.28
O (0.5000, 0.4264, 0.3223)  2 Pd 2.08-2.14, 2 Ag 2.28

---

[2]
A relaxed structure of Sm3In3NiAu2. Source: OQMD via LeMat-Bulk, functional PBE.

Summary:
For the raw total energy, the calculation gives -4.5130 eV per atom. The total magnetization comes out at 0.00 μB/f.u.

Unit cell a=7.8005 b=7.8005 c=3.9573 alpha=90.00 beta=90.00 gamma=120.00
With the nearest neighbours (Å) after each atom.
Sites, in units of the cell vectors:
In (0.0000, 0.2428, 0.5000)  2 Ni 2.74, 2 Au 3.02
In (0.2428, 0.0000, 0.5000)  2 Ni 2.74, 2 Au 3.02
Au (0.3333, 0.6667, 0.5000)  3 In 3.02, 6 Sm 3.09
Sm (0.0000, 0.5977, 0.0000)  4 Au 3.09, 1 Ni 3.14, 6 In 3.38-3.40
Au (0.6667, 0.3333, 0.5000)  3 In 3.02, 6 Sm 3.09
In (0.7572, 0.7572, 0.5000)  2 Ni 2.74, 2 Au 3.02
Sm (0.5977, 0.0000, 0.0000)  4 Au 3.09, 1 Ni 3.14, 6 In 3.38-3.40
Ni (0.0000, 0.0000, 0.0000)  6 In 2.74
Sm (0.4023, 0.4023, 0.0000)  4 Au 3.09, 1 Ni 3.14, 6 In 3.38-3.40

---

[3]
A relaxed structure of YZrNO. Source: OQMD via LeMat-Bulk, functional PBE.

Summary:
For the raw total energy, the calculation gives -8.9968 eV per atom. The total magnetization comes out at 0.00 μB/f.u. For the energy relative to the lowest polymorph listed for this composition, the calculation gives 68.5 kJ/mol of formula units.

Unit cell a=4.1901 b=4.1901 c=8.0917 alpha=90.00 beta=90.00 gamma=90.00
With the nearest neighbours (Å) after each atom.
Sites, in units of the cell vectors:
O (0.5000, 0.5000, 0.0000)  4 Y 2.29
Y (0.0000, 0.5000, 0.8860)  4 O 2.29
N (0.0000, 0.5000, 0.4305)  4 Zr 2.17
O (0.0000, 0.0000, 0.0000)  4 Y 2.29
Y (0.5000, 0.0000, 0.1140)  4 O 2.29
N (0.5000, 0.0000, 0.5695)  4 Zr 2.17
Zr (0.5000, 0.5000, 0.5000)  4 N 2.17
Zr (0.0000, 0.0000, 0.5000)  4 N 2.17

---

[4]
A relaxed structure of NaAu. Source: OQMD via LeMat-Bulk, functional PBE.

Summary:
For the raw total energy, the calculation gives -2.6132 eV per atom.

Unit cell a=5.7274 b=5.7274 c=5.4633 alpha=90.00 beta=90.00 gamma=82.15
With the nearest neighbours (Å) after each atom.
Sites, in units of the cell vectors:
Au (0.0000, 0.0000, 0.0000)  4 Au 2.73-2.83
Na (0.8422, 0.5256, 0.2500)  6 Au 2.94-3.28, 3 Na 3.18-3.27
Au (0.6708, 0.3292, 0.7500)  2 Au 2.83, 8 Na 2.94-3.16
Au (0.0000, 0.0000, 0.5000)  4 Au 2.73-2.83
Na (0.5256, 0.8422, 0.7500)  6 Au 2.94-3.28, 3 Na 3.18-3.27
Au (0.3292, 0.6708, 0.2500)  2 Au 2.83, 8 Na 2.94-3.16
Na (0.1578, 0.4744, 0.7500)  6 Au 2.94-3.28, 3 Na 3.18-3.27
Na (0.4744, 0.1578, 0.2500)  6 Au 2.94-3.28, 3 Na 3.18-3.27